No. 1
Entry from Alexandria via LeMat-Bulk: crystalline CsHg2GeF8 at its relaxed geometry (GGA-PBE).

Geometry as CIF:
```
data_CsHg2GeF8
_cell_length_a 5.181
_cell_length_b 5.496
_cell_length_c 7.859
_cell_angle_alpha 97.50
_cell_angle_beta 92.34
_cell_angle_gamma 95.16
_space_group_name_H-M_alt 'P -1'
_space_group_IT_number 2
loop_
_space_group_symop_operation_xyz
'x,y,z'
'-x,-y,-z'
loop_
_atom_site_label
_atom_site_type_symbol
_atom_site_fract_x
_atom_site_fract_y
_atom_site_fract_z
_atom_site_occupancy
Cs1 Cs 0.000 0.000 0.000 1
Hg1 Hg 0.478 0.455 0.749 1
Ge1 Ge 0.000 0.000 0.500 1
F1 F 0.115 0.787 0.324 1
F2 F 0.189 0.864 0.654 1
F3 F 0.281 0.238 0.483 1
F4 F 0.474 0.731 0.987 1
```

Summary:
ΔE_f (raw) ... -1.96 eV per atom



No. 2
Entry from Alexandria via LeMat-Bulk: crystalline LaScBi2 at its relaxed geometry (GGA-PBE).

Geometry as CIF:
```
data_LaScBi2
_cell_length_a 4.5085
_cell_length_b 4.5085
_cell_length_c 21.7903
_cell_angle_alpha 90.00
_cell_angle_beta 90.00
_cell_angle_gamma 120.00
_space_group_name_H-M_alt 'R -3 m'
_space_group_IT_number 166
_space_group_name_Hall '-R 3 2"'
loop_
_atom_site_label
_atom_site_type_symbol
_atom_site_fract_x
_atom_site_fract_y
_atom_site_fract_z
_atom_site_occupancy
La1 La 0.0000 0.0000 0.0000 1
Sc1 Sc 0.0000 0.0000 0.5000 1
Bi1 Bi 0.0000 0.0000 0.2408 1
```

Summary:
E_form ... -842 meV per atom
Distance to the lowest polymorph of the same formula ... 0 meV per atom



No. 3
Entry from Alexandria via LeMat-Bulk: crystalline Rb7InO3 at its relaxed geometry (GGA-PBE).

Geometry as CIF:
```
data_Rb7InO3
_cell_length_a 13.930
_cell_length_b 7.993
_cell_length_c 9.618
_cell_angle_alpha 90.00
_cell_angle_beta 127.13
_cell_angle_gamma 90.00
_space_group_name_H-M_alt 'C 1 m 1'
_space_group_IT_number 8
loop_
_space_group_symop_operation_xyz
'x,y,z'
'x,-y,z'
'x+1/2,y+1/2,z'
'x+1/2,-y+1/2,z'
loop_
_atom_site_label
_atom_site_type_symbol
_atom_site_fract_x
_atom_site_fract_y
_atom_site_fract_z
_atom_site_occupancy
Rb1 Rb 0.000 0.000 0.000 1
Rb2 Rb 0.001 0.500 0.027 1
Rb3 Rb 0.174 0.500 0.605 1
Rb4 Rb 0.269 0.236 0.032 1
Rb5 Rb 0.412 0.262 0.602 1
In1 In 0.194 0.000 0.668 1
O1 O 0.108 0.000 0.809 1
O2 O 0.327 0.222 0.808 1
```

Summary:
ΔE_f (raw) ... -0.78 eV per atom



No. 4
Entry from Alexandria via LeMat-Bulk: crystalline SrCaHg3 at its relaxed geometry (GGA-PBE).

Geometry as CIF:
```
data_SrCaHg3
_cell_length_a 5.961
_cell_length_b 5.961
_cell_length_c 5.961
_cell_angle_alpha 90.00
_cell_angle_beta 90.00
_cell_angle_gamma 90.00
_space_group_name_H-M_alt 'P m -3 m'
_space_group_IT_number 221
_space_group_name_Hall '-P 4 2 3'
loop_
_atom_site_label
_atom_site_type_symbol
_atom_site_fract_x
_atom_site_fract_y
_atom_site_fract_z
_atom_site_occupancy
Sr1 Sr 0.000 0.000 0.000 1
Ca1 Ca 0.500 0.500 0.500 1
Hg1 Hg 0.000 0.000 0.500 1
```

Summary:
E_form ... 122 meV per atom
Distance to the lowest polymorph of the same formula ... 619 meV per atom



No. 5
Entry from Alexandria via LeMat-Bulk: crystalline BaY2Ta at its relaxed geometry (GGA-PBE).

Geometry as CIF:
```
data_BaY2Ta
_cell_length_a 7.369
_cell_length_b 7.369
_cell_length_c 14.842
_cell_angle_alpha 90.00
_cell_angle_beta 90.00
_cell_angle_gamma 90.00
_space_group_name_H-M_alt 'I 41/a m d'
_space_group_IT_number 141
loop_
_space_group_symop_operation_xyz
'x,y,z'
'-x,-y,-z'
'-y+1/4,x+3/4,z+1/4'
'y+1/4,-x+3/4,-z+1/4'
'-x+1/2,-y,z+1/2'
'x+1/2,y,-z+1/2'
'y+1/4,-x+1/4,z+3/4'
'-y+1/4,x+1/4,-z+3/4'
'x,-y,-z'
'-x,y,z'
'-y+1/4,-x+1/4,-z+3/4'
'y+1/4,x+1/4,z+3/4'
'-x+1/2,y,-z+1/2'
'x+1/2,-y,z+1/2'
'y+1/4,x+3/4,-z+1/4'
'-y+1/4,-x+3/4,z+1/4'
'x+1/2,y+1/2,z+1/2'
'-x+1/2,-y+1/2,-z+1/2'
'-y+3/4,x+1/4,z+3/4'
'y+3/4,-x+1/4,-z+3/4'
'-x,-y+1/2,z'
'x,y+1/2,-z'
'y+3/4,-x+3/4,z+1/4'
'-y+3/4,x+3/4,-z+1/4'
'x+1/2,-y+1/2,-z+1/2'
'-x+1/2,y+1/2,z+1/2'
'-y+3/4,-x+3/4,-z+1/4'
'y+3/4,x+3/4,z+1/4'
'-x,y+1/2,-z'
'x,-y+1/2,z'
'y+3/4,x+1/4,-z+3/4'
'-y+3/4,-x+1/4,z+3/4'
loop_
_atom_site_label
_atom_site_type_symbol
_atom_site_fract_x
_atom_site_fract_y
_atom_site_fract_z
_atom_site_occupancy
Ba1 Ba 0.000 0.250 0.375 1
Y1 Y 0.000 0.000 0.000 1
Ta1 Ta 0.000 0.250 0.875 1
```

Summary:
E_form ... 1365 meV per atom
Distance to the lowest polymorph of the same formula ... 985 meV per atom



No. 6
Entry from Alexandria via LeMat-Bulk: crystalline Pa2CuPN6 at its relaxed geometry (GGA-PBE).

Geometry as CIF:
```
data_Pa2CuPN6
_cell_length_a 5.075
_cell_length_b 5.075
_cell_length_c 4.602
_cell_angle_alpha 90.00
_cell_angle_beta 90.00
_cell_angle_gamma 90.00
_space_group_name_H-M_alt 'P 4 m m'
_space_group_IT_number 99
loop_
_space_group_symop_operation_xyz
'x,y,z'
'-y,x,z'
'-x,-y,z'
'y,-x,z'
'-x,y,z'
'y,x,z'
'x,-y,z'
'-y,-x,z'
loop_
_atom_site_label
_atom_site_type_symbol
_atom_site_fract_x
_atom_site_fract_y
_atom_site_fract_z
_atom_site_occupancy
Pa1 Pa 0.000 0.500 0.000 1
Cu1 Cu 0.000 0.000 0.568 1
P1 P 0.500 0.500 0.557 1
N1 N 0.000 0.000 0.127 1
N2 N 0.270 0.270 0.688 1
N3 N 0.500 0.500 0.199 1
```

Summary:
ΔE_f (raw) ... -0.50 eV per atom



Values of calculated volume, in order: 18.4 32.0 38.8 42.4 50.4 11.9, all in Å³/atom.
Values of size of the total moment, in order: 0.00 0.00 0.00 0.00 0.00 0.00, all in μB per atom.